Below is a relaxed structure of Ce3Ga2Co3, with properties calculated at the PBE level.

Cell and atoms, written as extended XYZ:
```
8
Lattice="-1.2376 0.6759 4.9523 -1.2561 -4.0536 2.9162 5.2745 -1.8492 4.2474" Properties=species:S:1:pos:R:3 pbc="T T T"
Co -1.2468 -1.6888 3.9342
Ce 3.9348 -1.6905 3.8909
Co -0.6280 -2.0268 1.4581
Ga 1.7419 -3.8794 8.9954
Ga 1.0390 -1.3474 3.1204
Ce 1.3904 -2.6134 6.0579
Ce -1.1539 -3.5364 8.2249
Co -0.6188 0.3379 2.4761
```

DOS(E_F)	1.69	states/eV per atom
DFT total energy	-5.977	eV/atom